[1]
PBE-GGA MgBeN, optimized geometry; total magnetization = 0.00 μB per formula unit; formation energy without anion corrections = -60.5 kJ/mol of atoms; energy = -62.1 eV for the cell shown
1.0
4.654 0.000 -0.002
0.000 3.056 0.000
-3.465 0.000 9.064
Be Mg N
4 4 4
Cartesian
2.755 0.000 2.994
1.022 1.528 7.526
0.127 0.000 0.386
-1.605 1.528 4.917
-1.550 0.000 7.190
0.182 1.528 2.659
0.920 0.000 5.225
2.652 1.528 0.693
3.675 0.000 1.634
1.943 1.528 6.166
-0.984 0.000 4.414
-2.717 1.528 8.946

=====

[2]
PBE-GGA MgBe3N, optimized geometry; total magnetization = 0.00 μB per formula unit; formation energy without anion corrections = 25.1 kJ/mol of atoms; energy = -19.8 eV for the cell shown
1.0
3.679 0.000 0.000
0.000 3.679 0.000
0.000 0.000 3.679
Be Mg N
3 1 1
Cartesian
0.000 1.840 0.000
0.000 0.000 1.840
1.840 0.000 0.000
1.840 1.840 1.840
0.000 0.000 0.000

=====

[3]
PBE-GGA MgBe3N, optimized geometry; total magnetization = 2.37 μB per formula unit; formation energy without anion corrections = 240.5 kJ/mol of atoms; energy = -8.6 eV for the cell shown
1.0
4.632 0.000 0.000
0.000 4.632 0.000
0.000 0.000 4.632
Be Mg N
3 1 1
Cartesian
0.000 2.316 0.000
0.000 0.000 2.316
2.316 0.000 0.000
0.000 0.000 0.000
2.316 2.316 2.316

=====

[4]
PBE-GGA MgBeN, optimized geometry; total magnetization = 0.00 μB per formula unit; formation energy without anion corrections = -41.2 kJ/mol of atoms; energy = -29.9 eV for the cell shown
1.0
-1.733 -3.363 0.363
2.820 -1.315 1.286
-2.075 3.634 3.860
Mg Be N
2 2 2
Cartesian
-1.372 -1.254 1.727
0.383 0.211 3.782
0.084 -3.230 0.921
1.003 -1.448 0.728
0.999 -0.310 1.901
-1.987 -0.734 3.608

=====

[5]
PBE-GGA MgBeN, optimized geometry; total magnetization = 0.00 μB per formula unit; formation energy without anion corrections = -62.3 kJ/mol of atoms; energy = -31.2 eV for the cell shown
1.0
2.954 0.000 0.000
-1.477 2.558 0.000
0.000 0.000 8.012
Be Mg N
2 2 2
Cartesian
1.477 0.853 0.541
0.000 0.000 6.881
0.000 1.705 4.988
0.000 0.000 2.423
1.477 0.853 6.677
0.000 1.705 1.120

=====

[6]
PBE-GGA MgBeN, optimized geometry; total magnetization = 0.00 μB per formula unit; formation energy without anion corrections = -72.7 kJ/mol of atoms; energy = -31.8 eV for the cell shown
1.0
-2.849 1.069 -0.855
-2.872 -6.498 1.449
-0.516 0.847 2.775
Be Mg N
2 2 2
Cartesian
-0.048 -0.110 0.024
-4.506 -5.431 2.384
-1.918 -4.339 0.967
-2.637 -1.202 1.441
-2.782 -5.287 2.661
-1.773 -0.253 -0.252

=====

[7]
PBE-GGA MgBe2N, optimized geometry; total magnetization = 0.00 μB per formula unit; formation energy without anion corrections = -14.6 kJ/mol of atoms; energy = -36.0 eV for the cell shown
1.0
-3.403 3.638 1.715
-3.888 -3.550 -0.186
-2.922 -0.933 4.274
Be Mg N
4 2 2
Cartesian
-2.330 0.514 1.607
-4.599 -0.914 1.677
-6.083 -1.723 3.723
-7.414 0.434 4.599
0.000 0.000 0.000
-4.985 1.374 3.377
-3.646 0.044 0.765
-5.228 -2.220 2.426

=====

[8]
PBE-GGA MgBe2N, optimized geometry; total magnetization = 0.00 μB per formula unit; formation energy without anion corrections = 128.9 kJ/mol of atoms; energy = -12.0 eV for the cell shown
1.0
0.000 2.840 2.840
2.840 0.000 2.840
2.840 2.840 0.000
Be Mg N
2 1 1
Cartesian
1.420 1.420 1.420
4.260 4.260 4.260
2.840 2.840 2.840
0.000 0.000 0.000

=====

[9]
PBE-GGA MgBeN3, optimized geometry; total magnetization = 0.00 μB per formula unit; formation energy without anion corrections = 90.6 kJ/mol of atoms; energy = -25.6 eV for the cell shown
1.0
-0.633 3.343 -0.753
-3.256 -0.825 -0.927
-1.067 0.536 3.274
Be Mg N
1 1 3
Cartesian
0.000 0.000 0.000
-2.478 1.527 0.797
-1.628 -0.413 -0.463
-0.534 0.268 1.637
-0.316 1.672 -0.377

=====

[10]
PBE-GGA MgBe3N3, optimized geometry; total magnetization = 0.45 μB per formula unit; formation energy without anion corrections = -67.5 kJ/mol of atoms; energy = -85.3 eV for the cell shown
1.0
-1.390 -1.048 2.127
-5.267 -2.365 -4.608
5.740 -4.365 1.602
Mg Be N
2 6 6
Cartesian
-1.944 -3.294 -2.006
1.028 -4.484 1.126
1.738 -6.235 -1.048
3.609 -3.302 1.620
-0.175 -2.342 -0.381
-2.654 -1.542 0.169
-4.526 -4.475 -2.500
-0.741 -5.435 -0.499
1.189 -2.325 0.520
0.745 -4.937 -1.058
3.237 -4.619 0.728
-2.105 -5.453 -1.399
-1.661 -2.841 0.178
-4.153 -3.158 -1.607

=====

[11]
PBE-GGA MgBe2NbN, optimized geometry; total magnetization = 1.74 μB per formula unit; formation energy without anion corrections = 238.0 kJ/mol of atoms; energy = -15.1 eV for the cell shown
1.0
4.455 0.000 0.000
0.000 5.670 0.000
0.000 0.000 4.455
Be Nb Mg N
2 1 1 1
Cartesian
0.000 0.000 2.227
2.227 0.000 0.000
0.000 0.000 0.000
0.000 2.835 0.000
2.227 2.835 2.227

=====

[12]
PBE-GGA MgBeNO, optimized geometry; total magnetization = 0.00 μB per formula unit; formation energy without anion corrections = -121.7 kJ/mol of atoms; energy = -47.3 eV for the cell shown
1.0
-1.349 1.370 -1.897
-2.018 -1.887 0.072
-4.432 4.998 6.763
Be Mg O N
2 2 2 2
Cartesian
-2.628 2.888 2.033
-5.853 4.444 5.451
-0.840 0.947 1.281
-4.065 2.503 4.699
-2.364 2.665 3.607
-1.156 -0.777 0.261
-4.282 4.753 4.557
-3.075 1.311 1.211

=====

> Which formula does entry 2 have?

MgBe3N

=====

Repeat the third record exactly.
PBE-GGA MgBe3N, optimized geometry; total magnetization = 2.37 μB per formula unit; formation energy without anion corrections = 240.5 kJ/mol of atoms; energy = -8.6 eV for the cell shown
1.0
4.632 0.000 0.000
0.000 4.632 0.000
0.000 0.000 4.632
Be Mg N
3 1 1
Cartesian
0.000 2.316 0.000
0.000 0.000 2.316
2.316 0.000 0.000
0.000 0.000 0.000
2.316 2.316 2.316

=====

> energy of number 2 (MgBe3N)?

-19.8 eV for the cell shown